[1]
## TmB2Mo (GGA-PBE)

Data for a relaxed structure of TmB2Mo.

Cell: 3.3540 3.3540 5.9388 Å, 73.60 73.60 60.00°
Element x y z (fractional)
Tm (0.5000, 0.5000, 0.5000)
Mo (0.0000, 0.0000, 0.0000)
B (0.7350, 0.7350, 0.7949)
B (0.2650, 0.2650, 0.2051)

Properties
* DFT formation energy: -60 kJ/mol of formula units
* total DFT energy (no corrections): -7.320 eV per atom


[2]
## UB6Mo2 (GGA-PBE)

Data for a relaxed structure of UB6Mo2.

Cell: 3.1232 5.7227 5.7227 Å, 73.94 74.16 74.16°
Each line ends with the local moment (μB).
Element x y z (fractional)
U (0.5000, 0.5000, 0.5000)  1.44
B (0.1933, 0.0496, 0.5637)  -0.01
B (0.8067, 0.4363, 0.9504)  -0.01
B (0.0000, 0.8285, 0.1715)  -0.01
B (0.0000, 0.1715, 0.8285)  -0.01
B (0.8067, 0.9504, 0.4363)  -0.01
B (0.1933, 0.5637, 0.0496)  -0.01
Mo (0.6547, 0.8453, 0.8453)  -0.02
Mo (0.3453, 0.1547, 0.1547)  -0.02

Properties
* distance to the lowest polymorph of the same formula: 0.0 meV/atom
* DFT formation energy: -403 kJ/mol of formula units
* total DFT energy (no corrections): -8.577 eV per atom


no.,DOS at the Fermi energy (states/eV/f.u.)
1,1.7
2,5.0